Hf2Ga2Ir after structural relaxation. Source: Alexandria via LeMat-Bulk, functional PBE.

Computed properties:
The space group is P4/mnc (128). Its total magnetic moment is 0.00 μB per cell. The total energy comes out at -7.658 eV/atom.

Cell: 6.6125 6.6125 7.9705 Å, 90.00 90.00 90.00°
With the nearest neighbours (Å) after each atom.
Positions (direct):
1 Hf 0.6701 0.8263 0.5000  6 Ga 2.70-2.86, 2 Ir 2.94
2 Hf 0.3299 0.1737 0.5000  6 Ga 2.70-2.86, 2 Ir 2.94
3 Hf 0.8299 0.3263 0.0000  6 Ga 2.70-2.86, 2 Ir 2.94
4 Hf 0.1701 0.6737 0.0000  6 Ga 2.70-2.86, 2 Ir 2.94
5 Hf 0.8263 0.3299 0.5000  6 Ga 2.70-2.86, 2 Ir 2.94
6 Hf 0.1737 0.6701 0.5000  6 Ga 2.70-2.86, 2 Ir 2.94
7 Hf 0.3263 0.1701 0.0000  6 Ga 2.70-2.86, 2 Ir 2.94
8 Hf 0.6737 0.8299 0.0000  6 Ga 2.70-2.86, 2 Ir 2.94
9 Ga 0.3664 0.8664 0.2500  1 Ga 2.50, 2 Ir 2.61, 2 Hf 2.70
10 Ga 0.6336 0.1336 0.2500  1 Ga 2.50, 2 Ir 2.61, 2 Hf 2.70
11 Ga 0.1336 0.3664 0.7500  1 Ga 2.50, 2 Ir 2.61, 2 Hf 2.70
12 Ga 0.8664 0.6336 0.7500  1 Ga 2.50, 2 Ir 2.61, 2 Hf 2.70
13 Ga 0.8664 0.6336 0.2500  1 Ga 2.50, 2 Ir 2.61, 2 Hf 2.70
14 Ga 0.1336 0.3664 0.2500  1 Ga 2.50, 2 Ir 2.61, 2 Hf 2.70
15 Ga 0.3664 0.8664 0.7500  1 Ga 2.50, 2 Ir 2.61, 2 Hf 2.70
16 Ga 0.6336 0.1336 0.7500  1 Ga 2.50, 2 Ir 2.61, 2 Hf 2.70
17 Ir 0.5000 0.5000 0.2013  4 Ga 2.61
18 Ir 0.0000 0.0000 0.7013  4 Ga 2.61
19 Ir 0.5000 0.5000 0.7987  4 Ga 2.61
20 Ir 0.0000 0.0000 0.2987  4 Ga 2.61